Record 1
The following is a PBE-GGA calculation of an optimized crystal structure of Y2HoAl3AgGe2, from OQMD via LeMat-Bulk.

- M_tot: 0.00 μB per cell
- Raw total energy: -46.42 eV/f.u.

Unit cell a=4.279 b=7.062 c=7.062 alpha=119.95 beta=90.00 gamma=90.00
Element x y z (fractional)
1 Al 0.500 0.759 0.759
2 Al 0.500 0.000 0.240
3 Al 0.500 0.240 0.000
4 Y 0.000 0.000 0.586
5 Y 0.000 0.586 0.000
6 Ge 0.500 0.665 0.334
7 Ge 0.500 0.334 0.665
8 Ag 0.000 0.002 0.002
9 Ho 0.000 0.414 0.414

=====

Record 2
The following is a PBE-GGA calculation of an optimized crystal structure of LuFe2Cu, from OQMD via LeMat-Bulk.

- Formation enthalpy at 0 K: 0.1164 eV/atom
- M_tot: 4.37 μB per cell
- Raw total energy: -24.39 eV/f.u.

Unit cell a=4.384 b=4.384 c=4.384 alpha=60.00 beta=60.00 gamma=60.00
Element x y z (fractional)
1 Lu 0.500 0.500 0.500
2 Fe 0.000 0.000 0.000
3 Fe 0.750 0.750 0.750
4 Cu 0.250 0.250 0.250